No. 1
# Cd6HgAu

An optimized crystal structure of Cd6HgAu (PBE, Alexandria).

## Properties
Formation energy from the elements   -0.02 eV per atom
Uncorrected energy   -1.1524 eV per atom
Excess energy over the best structure of this formula in the dataset   0.00 eV per formula unit
Space-group type   P-1 (2)

abc: 7.890 7.885 5.327
angles: 50.55 45.19 62.40
Positions (direct):
Cd: 0.023 0.426 0.794
Hg: 0.500 0.500 0.500
Au: 0.000 0.000 0.000
Cd: 0.249 0.043 0.224
Cd: 0.458 0.757 0.809
Cd: 0.977 0.574 0.206
Cd: 0.751 0.957 0.776
Cd: 0.542 0.243 0.191



No. 2
# FeP2Os

An optimized crystal structure of FeP2Os (PBE, Alexandria).

## Properties
Formation energy from the elements   0.33 eV per atom
Uncorrected energy   -7.2937 eV per atom
Excess energy over the best structure of this formula in the dataset   2.34 eV per formula unit
Space-group type   Cmm2 (35)

abc: 2.717 2.717 9.354
angles: 90.00 90.00 116.16
Positions (direct):
Fe: 0.000 0.000 0.503
Os: 0.500 0.500 0.742
P: 0.500 0.500 0.313
P: 0.000 0.000 0.942



No. 3
# TbPm2Er

An optimized crystal structure of TbPm2Er (PBE, Alexandria).

## Properties
Formation energy from the elements   0.01 eV per atom
Uncorrected energy   -4.6600 eV per atom
Excess energy over the best structure of this formula in the dataset   0.00 eV per formula unit
Space-group type   R-3m (166)

abc: 3.594 3.594 11.845
angles: 81.27 81.27 60.00
Positions (direct):
Tb: 0.500 0.500 0.500
Pm: 0.750 0.750 0.751
Pm: 0.250 0.250 0.249
Er: 0.000 0.000 0.000



No. 4
# Ce2ZrAl4Au3

An optimized crystal structure of Ce2ZrAl4Au3 (PBE, Alexandria).

## Properties
Formation energy from the elements   -0.57 eV per atom
Uncorrected energy   -5.0911 eV per atom
Space-group type   P-4m2 (115)

abc: 4.343 4.343 11.250
angles: 90.00 90.00 90.00
Positions (direct):
Au: 0.000 0.000 0.500
Al: 0.000 0.500 0.348
Au: 0.500 0.000 0.875
Ce: 0.000 0.500 0.756
Zr: 0.500 0.500 0.500
Al: 0.500 0.500 0.000
Al: 0.000 0.000 0.000
Al: 0.500 0.000 0.652
Ce: 0.500 0.000 0.244
Au: 0.000 0.500 0.125



> Which of these has the highest formation energy from the elements?

FeP2Os